A plane-wave DFT calculation with GGA-PBE was carried out for a relaxed structure of UHgOs.

a b c (Å): 4.701 4.701 4.701
angles (deg): 60.00 60.00 60.00
Element x y z (fractional)
Hg 0.250 0.250 0.250
U 0.000 0.000 0.000
Os 0.750 0.750 0.750

Calculated values
Energy of formation from the pure elements (eV/atom): 0.953
M_tot (Bohr magnetons per cell): 1.6
Total energy (eV/atom): -6.65
E above lowest polymorph (eV per atom): 0.4466
SG: F-43m, No. 216

***

A plane-wave DFT calculation with GGA-PBE was carried out for a relaxed structure of UHgOs.

a b c (Å): 4.635 4.635 4.635
angles (deg): 60.00 60.00 60.00
Element x y z (fractional)
Os 0.000 0.000 0.000
Hg 0.250 0.250 0.250
U 0.750 0.750 0.750

Calculated values
Energy of formation from the pure elements (eV/atom): 0.506
M_tot (Bohr magnetons per cell): 1.9
Total energy (eV/atom): -7.10
E above lowest polymorph (eV per atom): 0.0000
SG: F-43m, No. 216

***

A plane-wave DFT calculation with GGA-PBE was carried out for a relaxed structure of HgOsW.

a b c (Å): 4.375 4.375 4.375
angles (deg): 60.00 60.00 60.00
Element x y z (fractional)
W 0.000 0.000 0.000
Os 0.750 0.750 0.750
Hg 0.250 0.250 0.250

Calculated values
Energy of formation from the pure elements (eV/atom): 1.133
M_tot (Bohr magnetons per cell): 0.0
Total energy (eV/atom): -7.03
E above lowest polymorph (eV per atom): 0.1491
SG: F-43m, No. 216

***

A plane-wave DFT calculation with GGA-PBE was carried out for a relaxed structure of HgOsW2.

a b c (Å): 4.545 4.545 4.545
angles (deg): 60.00 60.00 60.00
Element x y z (fractional)
Hg 0.250 0.250 0.250
W 0.750 0.750 0.750
W 0.000 0.000 0.000
Os 0.500 0.500 0.500

Calculated values
Energy of formation from the pure elements (eV/atom): 0.761
M_tot (Bohr magnetons per cell): 0.0
Total energy (eV/atom): -8.60
SG: F-43m, No. 216